The following is a PBE-GGA calculation of LiPm4Tc after structural relaxation, from Alexandria via LeMat-Bulk.

a b c (Å): 6.390 7.875 7.875
angles (deg): 110.23 100.38 100.38
Positions (direct):
Li 0.750 0.623 0.377
Li 0.250 0.377 0.623
Pm 0.886 0.638 0.802
Pm 0.051 0.932 0.275
Pm 0.614 0.198 0.362
Pm 0.449 0.725 0.068
Pm 0.551 0.275 0.932
Pm 0.386 0.802 0.638
Pm 0.949 0.068 0.725
Pm 0.114 0.362 0.198
Tc 0.250 0.000 0.000
Tc 0.750 0.000 0.000

Magnetization: 0.00 μB per formula unit
Symmetry: C2/c (15)
Total energy: -5.19 eV/atom
Calculated formation energy: 2.37 kJ/mol of atoms